# 1
Compound: ErTi2Mo
Source: the Alexandria database
Functional: PBE-GGA
Structure: relaxed

Cell lengths 3.2974, 3.2974, 7.2006 Å; angles 90.00, 90.00, 90.00 degrees
Fractional positions:
1 Mo 0.5000 0.5000 0.0000
2 Ti 0.0000 0.0000 0.8061
3 Ti 0.0000 0.0000 0.1939
4 Er 0.5000 0.5000 0.5000

* formation enthalpy at 0 K: 36 meV/atom
* space group: No. 123

# 2
Compound: ErTiMo
Source: the Alexandria database
Functional: PBE-GGA
Structure: relaxed

Cell lengths 3.1740, 3.1740, 12.9017 Å; angles 97.07, 97.07, 90.00 degrees
Fractional positions:
1 Mo 0.2799 0.2799 0.5598
2 Mo 0.7201 0.7201 0.4402
3 Ti 0.1575 0.1575 0.3150
4 Ti 0.8425 0.8425 0.6850
5 Er 0.5681 0.5681 0.1361
6 Er 0.4320 0.4320 0.8639

* energy relative to the lowest polymorph listed for this composition: 43 meV per atom
* formation enthalpy at 0 K: 119 meV/atom
* space group: No. 139

# 3
Compound: ErTmMo4
Source: the Alexandria database
Functional: PBE-GGA
Structure: relaxed

Cell lengths 5.4937, 5.4937, 5.4937 Å; angles 60.00, 60.00, 60.00 degrees
Fractional positions:
1 Mo 0.6250 0.6250 0.1250
2 Mo 0.6250 0.1250 0.6250
3 Mo 0.6250 0.6250 0.6250
4 Mo 0.1250 0.6250 0.6250
5 Tm 0.0000 0.0000 0.0000
6 Er 0.2500 0.2500 0.2500

* formation enthalpy at 0 K: 49 meV/atom
* space group: No. 216

# 4
Compound: ErUMo
Source: the Alexandria database
Functional: PBE-GGA
Structure: relaxed

Cell lengths 3.4339, 3.4339, 12.3624 Å; angles 97.98, 97.98, 90.00 degrees
Fractional positions:
1 Er 0.0736 0.0736 0.1473
2 Er 0.9264 0.9264 0.8527
3 U 0.6602 0.6602 0.3203
4 U 0.3398 0.3398 0.6797
5 Mo 0.7901 0.7901 0.5802
6 Mo 0.2099 0.2099 0.4198

* formation enthalpy at 0 K: 437 meV/atom
* space group: No. 139

# 5
Compound: ErV4Mo
Source: the Alexandria database
Functional: PBE-GGA
Structure: relaxed

Cell lengths 5.1350, 5.1350, 5.1350 Å; angles 60.00, 60.00, 60.00 degrees
Fractional positions:
1 Mo 0.2500 0.2500 0.2500
2 V 0.6253 0.6253 0.1240
3 V 0.6253 0.1240 0.6253
4 V 0.6253 0.6253 0.6253
5 V 0.1240 0.6253 0.6253
6 Er 0.0000 0.0000 0.0000

* formation enthalpy at 0 K: 211 meV/atom
* space group: No. 216

# 6
Compound: YErMo
Source: the Alexandria database
Functional: PBE-GGA
Structure: relaxed

Cell lengths 5.5612, 4.6008, 8.3675 Å; angles 78.41, 70.59, 52.82 degrees
Fractional positions:
1 Y 0.7500 0.5000 0.5000
2 Y 0.2500 0.5000 0.5000
3 Mo 0.8429 0.3143 0.0000
4 Mo 0.1571 0.6857 0.0000
5 Er 0.5931 0.0000 0.8138
6 Er 0.4069 0.0000 0.1862

* formation enthalpy at 0 K: 703 meV/atom
* space group: No. 69

# 7
Compound: YErMo4
Source: the Alexandria database
Functional: PBE-GGA
Structure: relaxed

Cell lengths 5.5144, 5.5144, 5.5144 Å; angles 60.00, 60.00, 60.00 degrees
Fractional positions:
1 Y 0.2500 0.2500 0.2500
2 Mo 0.6251 0.6251 0.1248
3 Mo 0.6251 0.1248 0.6251
4 Mo 0.6251 0.6251 0.6251
5 Mo 0.1248 0.6251 0.6251
6 Er 0.0000 0.0000 0.0000

* formation enthalpy at 0 K: 79 meV/atom
* space group: No. 216

# 8
Compound: Er2ZnMo
Source: the Alexandria database
Functional: PBE-GGA
Structure: relaxed

Cell lengths 3.3687, 3.3687, 10.5202 Å; angles 80.79, 80.79, 60.00 degrees
Fractional positions:
1 Mo 0.5000 0.5000 0.5000
2 Zn 0.0000 0.0000 0.0000
3 Er 0.0990 0.0990 0.7031
4 Er 0.9010 0.9010 0.2969

* formation enthalpy at 0 K: 492 meV/atom
* space group: No. 166

# 9
Compound: ErZrZnMo
Source: the Alexandria database
Functional: PBE-GGA
Structure: relaxed

Cell lengths 4.8271, 4.8271, 4.8271 Å; angles 60.00, 60.00, 60.00 degrees
Fractional positions:
1 Mo 0.5000 0.5000 0.5000
2 Zn 0.0000 0.0000 0.0000
3 Zr 0.2500 0.2500 0.2500
4 Er 0.7500 0.7500 0.7500

* formation enthalpy at 0 K: -15 meV/atom
* space group: No. 216

# 10
Compound: ErZrMo
Source: the Alexandria database
Functional: PBE-GGA
Structure: relaxed

Cell lengths 3.2216, 3.2216, 13.7211 Å; angles 96.74, 96.74, 90.00 degrees
Fractional positions:
1 Mo 0.2764 0.2764 0.5528
2 Mo 0.7236 0.7236 0.4472
3 Zr 0.1540 0.1540 0.3080
4 Zr 0.8460 0.8460 0.6920
5 Er 0.5632 0.5632 0.1265
6 Er 0.4368 0.4368 0.8735

* energy relative to the lowest polymorph listed for this composition: 9 meV per atom
* formation enthalpy at 0 K: 124 meV/atom
* space group: No. 139

# 11
Compound: ErZrMo
Source: the Alexandria database
Functional: PBE-GGA
Structure: relaxed

Cell lengths 3.4905, 3.4905, 6.0910 Å; angles 106.65, 106.65, 90.00 degrees
Fractional positions:
1 Mo 0.6834 0.6834 0.3668
2 Zr 0.3009 0.3009 0.6019
3 Er 0.0157 0.0157 0.0313

* energy relative to the lowest polymorph listed for this composition: 0 meV per atom
* formation enthalpy at 0 K: 115 meV/atom
* space group: No. 107

# 12
Compound: ErZr2Mo
Source: the Alexandria database
Functional: PBE-GGA
Structure: relaxed

Cell lengths 3.4443, 3.4443, 7.6452 Å; angles 90.00, 90.00, 90.00 degrees
Fractional positions:
1 Mo 0.5000 0.5000 0.0000
2 Zr 0.0000 0.0000 0.7990
3 Zr 0.0000 0.0000 0.2010
4 Er 0.5000 0.5000 0.5000

* energy relative to the lowest polymorph listed for this composition: 0 meV per atom
* formation enthalpy at 0 K: 60 meV/atom
* space group: No. 123

# 13
Compound: ErZr2Mo
Source: the Alexandria database
Functional: PBE-GGA
Structure: relaxed

Cell lengths 3.2539, 3.2539, 10.5452 Å; angles 81.12, 81.12, 60.00 degrees
Fractional positions:
1 Mo 0.5000 0.5000 0.5000
2 Zr 0.1010 0.1010 0.6971
3 Zr 0.8990 0.8990 0.3029
4 Er 0.0000 0.0000 0.0000

* energy relative to the lowest polymorph listed for this composition: 272 meV per atom
* formation enthalpy at 0 K: 333 meV/atom
* space group: No. 166

# 14
Compound: Er4N
Source: the Alexandria database
Functional: PBE-GGA
Structure: relaxed

Cell lengths 4.9032, 4.9032, 4.9032 Å; angles 90.00, 90.00, 90.00 degrees
Fractional positions:
1 Er 0.0000 0.0000 0.0000
2 Er 0.5000 0.0000 0.5000
3 Er 0.0000 0.5000 0.5000
4 Er 0.5000 0.5000 0.0000
5 N 0.5000 0.5000 0.5000

* uncorrected formation energy: -536 meV/atom
* space group: No. 221

# 15
Compound: Er3N2
Source: the Alexandria database
Functional: PBE-GGA
Structure: relaxed

Cell lengths 5.9017, 5.9017, 6.6426 Å; angles 63.63, 63.63, 60.00 degrees
Fractional positions:
1 N 0.8377 0.8377 0.4870
2 N 0.3377 0.3377 0.9870
3 N 0.1623 0.1623 0.5130
4 N 0.6623 0.6623 0.0130
5 Er 0.0743 0.7500 0.7500
6 Er 0.7500 0.4257 0.7500
7 Er 0.4257 0.0743 0.7500
8 Er 0.2500 0.5743 0.2500
9 Er 0.5743 0.9257 0.2500
10 Er 0.9257 0.2500 0.2500

* uncorrected formation energy: -1236 meV/atom
* space group: No. 167

# 16
Compound: Er3N2
Source: the Alexandria database
Functional: PBE-GGA
Structure: relaxed

Cell lengths 3.4452, 3.4452, 8.8986 Å; angles 78.84, 78.84, 60.00 degrees
Fractional positions:
1 Er 0.0000 0.0000 0.0000
2 Er 0.7702 0.7702 0.6893
3 Er 0.2298 0.2298 0.3107
4 N 0.3890 0.3890 0.8329
5 N 0.6110 0.6110 0.1671

* uncorrected formation energy: -1378 meV/atom
* space group: No. 166

# 17
Compound: ErN
Source: the Alexandria database
Functional: PBE-GGA
Structure: relaxed

Cell lengths 2.9625, 2.9625, 2.9625 Å; angles 90.00, 90.00, 90.00 degrees
Fractional positions:
1 N 0.5000 0.5000 0.5000
2 Er 0.0000 0.0000 0.0000

* uncorrected formation energy: -827 meV/atom
* space group: No. 221

# 18
Compound: ErN4
Source: the Alexandria database
Functional: PBE-GGA
Structure: relaxed

Cell lengths 4.7081, 4.7081, 4.7081 Å; angles 90.00, 90.00, 90.00 degrees
Fractional positions:
1 N 0.0000 0.0000 0.0000
2 N 0.5000 0.0000 0.5000
3 N 0.0000 0.5000 0.5000
4 N 0.5000 0.5000 0.0000
5 Er 0.5000 0.5000 0.5000

* uncorrected formation energy: 2531 meV/atom
* space group: No. 221

# 19
Compound: Er5N4
Source: the Alexandria database
Functional: PBE-GGA
Structure: relaxed

Cell lengths 3.0918, 7.2785, 7.2785 Å; angles 87.41, 77.74, 77.74 degrees
Fractional positions:
1 Er 0.7356 0.2644 0.2644
2 Er 0.2644 0.7356 0.7356
3 Er 0.0000 0.0000 0.0000
4 Er 0.0000 0.7356 0.2644
5 Er 0.0000 0.2644 0.7356
6 N 0.6405 0.0000 0.7191
7 N 0.3595 0.2809 0.0000
8 N 0.3595 0.0000 0.2809
9 N 0.6405 0.7191 0.0000

* energy relative to the lowest polymorph listed for this composition: 833 meV per atom
* uncorrected formation energy: -417 meV/atom
* space group: No. 139

# 20
Compound: ErN
Source: the Alexandria database
Functional: PBE-GGA
Structure: relaxed

Cell lengths 3.4285, 3.4285, 3.4285 Å; angles 60.00, 60.00, 60.00 degrees
Fractional positions:
1 N 0.5000 0.5000 0.5000
2 Er 0.0000 0.0000 0.0000

* uncorrected formation energy: -1784 meV/atom
* space group: No. 225

# 21
Compound: Er5N4
Source: the Alexandria database
Functional: PBE-GGA
Structure: relaxed

Cell lengths 3.4683, 6.9088, 6.9088 Å; angles 86.39, 75.46, 75.46 degrees
Fractional positions:
1 Er 0.5913 0.6481 0.1693
2 Er 0.7606 0.8307 0.6481
3 Er 0.2394 0.1693 0.3519
4 Er 0.4087 0.3519 0.8307
5 Er 0.0000 0.0000 0.0000
6 N 0.7902 0.3242 0.0955
7 N 0.8857 0.9045 0.3242
8 N 0.1143 0.0955 0.6758
9 N 0.2098 0.6758 0.9045

* energy relative to the lowest polymorph listed for this composition: 0 meV per atom
* uncorrected formation energy: -1251 meV/atom
* space group: No. 87

# 22
Compound: Er6N5
Source: the Alexandria database
Functional: PBE-GGA
Structure: relaxed

Cell lengths 5.9661, 5.9661, 5.9603 Å; angles 120.03, 99.68, 70.38 degrees
Fractional positions:
1 Er 0.7391 0.7393 0.0000
2 Er 0.2609 0.2607 0.0000
3 Er 0.7467 0.0845 0.6529
4 Er 0.2533 0.5684 0.6529
5 Er 0.2533 0.9155 0.3471
6 Er 0.7467 0.4316 0.3471
7 N 0.5000 0.5000 0.0000
8 N 0.0000 0.6664 0.3328
9 N 0.0000 0.3336 0.6672
10 N 0.5000 0.8313 0.6625
11 N 0.5000 0.1687 0.3375

* uncorrected formation energy: -1623 meV/atom
* space group: No. 12

# 23
Compound: Er5N
Source: the Alexandria database
Functional: PBE-GGA
Structure: relaxed

Cell lengths 6.1149, 3.2732, 8.9696 Å; angles 100.51, 90.00, 90.00 degrees
Fractional positions:
1 N 0.0000 0.0000 0.0000
2 Er 0.5000 0.8335 0.6669
3 Er 0.0000 0.5917 0.1834
4 Er 0.5000 0.5000 0.0000
5 Er 0.0000 0.4083 0.8166
6 Er 0.5000 0.1665 0.3331

* uncorrected formation energy: -7 meV/atom
* space group: No. 65

# 24
Compound: Na4ErNp3N8
Source: the Alexandria database
Functional: PBE-GGA
Structure: relaxed

Cell lengths 6.9158, 6.9289, 6.9165 Å; angles 119.95, 120.00, 90.00 degrees
Fractional positions:
1 Na 0.5000 0.0000 0.0000
2 Na 0.5000 0.0000 0.5000
3 Na 0.0000 0.0000 0.0000
4 Na 0.0000 0.0000 0.5000
5 Er 0.0000 0.5000 0.0000
6 Np 0.5000 0.5000 0.0000
7 Np 0.5000 0.5000 0.5000
8 Np 0.0000 0.5000 0.5000
9 N 0.2391 0.6827 0.9438
10 N 0.2390 0.6827 0.4780
11 N 0.2716 0.3152 0.5432
12 N 0.7046 0.6827 0.9438
13 N 0.2954 0.3173 0.0562
14 N 0.7284 0.6848 0.4568
15 N 0.7610 0.3173 0.5220
16 N 0.7609 0.3173 0.0562

* uncorrected formation energy: -900 meV/atom
* space group: No. 166

# 25
Compound: NaErPN3
Source: the Alexandria database
Functional: PBE-GGA
Structure: relaxed

Cell lengths 3.6878, 6.2930, 6.7160 Å; angles 106.48, 90.00, 107.04 degrees
Fractional positions:
1 Na 0.3337 0.6674 0.9290
2 Na 0.6663 0.3326 0.0710
3 Er 0.6468 0.2935 0.5751
4 Er 0.3532 0.7065 0.4249
5 P 0.0089 0.0178 0.1863
6 P 0.9911 0.9822 0.8137
7 N 0.8758 0.7516 0.2170
8 N 0.8479 0.6957 0.6696
9 N 0.5080 0.0160 0.2393
10 N 0.1521 0.3043 0.3304
11 N 0.4920 0.9840 0.7607
12 N 0.1242 0.2484 0.7830

* uncorrected formation energy: -514 meV/atom
* space group: No. 12

# 26
Compound: Na3ErPa2N6
Source: the Alexandria database
Functional: PBE-GGA
Structure: relaxed

Cell lengths 6.1679, 6.1679, 6.0085 Å; angles 98.87, 98.87, 121.56 degrees
Fractional positions:
1 Na 0.1635 0.8365 0.5000
2 Na 0.8365 0.1635 0.5000
3 Na 0.5000 0.5000 0.5000
4 Er 0.0000 0.0000 0.0000
5 Pa 0.3357 0.6643 0.0000
6 Pa 0.6643 0.3357 0.0000
7 N 0.9252 0.5855 0.8106
8 N 0.7210 0.7210 0.1927
9 N 0.0748 0.4145 0.1894
10 N 0.5855 0.9252 0.8106
11 N 0.2790 0.2790 0.8073
12 N 0.4145 0.0748 0.1894

* uncorrected formation energy: -959 meV/atom
* space group: No. 12